# 1
DFT (PBE) results for Sr4SnI5 after structural relaxation.

## Properties
The calculated volume comes out at 46.5 Å³ per atom. The size of the total moment comes out at 0.34 Bohr magnetons per cell. The space group is C2/m, No. 12.

a = 4.5755 Å, b = 10.0146 Å, c = 10.7329 Å
α = 104.40°, β = 102.31°, γ = 90.00°
Each line ends with the local moment (μB).
Fractional positions:
I1 0.5000 0.5000 0.0000  0.00
I2 0.1687 0.3371 0.3373  0.00
Sr1 0.3367 0.8997 0.6735  0.01
Sr2 0.6633 0.1003 0.3265  0.01
I3 0.8303 0.1445 0.6607  0.00
Sr3 0.9968 0.7521 0.9935  0.00
I4 0.1697 0.8555 0.3393  0.00
Sn1 0.5000 0.0000 0.0000  0.10
Sr4 0.0032 0.2479 0.0065  0.00
I5 0.8313 0.6629 0.6627  0.00


# 2
DFT (PBE) results for Sr2SnI after structural relaxation.

## Properties
For the relative energy among the computed polymorphs, the calculation gives 23 meV/atom. The calculated volume comes out at 36.3 Å³ per atom. The size of the total moment comes out at 0.00 Bohr magnetons per cell. The space group is P4/mmm, No. 123.

a = 4.0325 Å, b = 4.0325 Å, c = 8.9250 Å
α = 90.00°, β = 90.00°, γ = 90.00°
Fractional positions:
Sr1 0.0000 0.0000 0.7779
Sn1 0.5000 0.5000 0.0000
Sr2 0.0000 0.0000 0.2221
I1 0.5000 0.5000 0.5000


# 3
DFT (PBE) results for SrSn2I6 after structural relaxation.

## Properties
For the relative energy among the computed polymorphs, the calculation gives 0 meV/atom. The calculated volume comes out at 48.3 Å³ per atom. The size of the total moment comes out at 0.00 Bohr magnetons per cell. The space group is C2/m, No. 12.

a = 4.6508 Å, b = 9.3520 Å, c = 10.5547 Å
α = 103.55°, β = 102.73°, γ = 90.00°
Fractional positions:
Sn1 0.1685 0.3377 0.3370
I1 0.6706 0.5787 0.3412
I2 0.6658 0.0966 0.3316
I3 0.3294 0.4213 0.6588
I4 0.3342 0.9034 0.6684
I5 0.0071 0.2525 0.0142
I6 0.9929 0.7475 0.9858
Sr1 0.5000 0.0000 0.0000
Sn2 0.8315 0.6623 0.6630


# 4
DFT (PBE) results for SrSnI5 after structural relaxation.

## Properties
The calculated volume comes out at 49.0 Å³ per atom. The size of the total moment comes out at 0.00 Bohr magnetons per cell. The space group is C2/c, No. 15.

a = 8.0395 Å, b = 8.0395 Å, c = 12.6558 Å
α = 67.61°, β = 67.61°, γ = 71.80°
Fractional positions:
I1 0.2971 0.6638 0.0164
I2 0.3123 0.2101 0.8736
I3 0.6877 0.7899 0.1264
I4 0.0222 0.9778 0.7500
I5 0.3362 0.7029 0.4836
Sr1 0.6279 0.3721 0.2500
I6 0.2101 0.3123 0.3736
I7 0.7899 0.6877 0.6264
Sn1 0.0000 0.0000 0.0000
I8 0.7029 0.3362 0.9836
Sn2 0.0000 0.0000 0.5000
I9 0.9778 0.0222 0.2500
I10 0.6638 0.2971 0.5164
Sr2 0.3721 0.6279 0.7500


Number 1: VASP energy -32.449 eV/f.u.. Number 2: VASP energy -12.591 eV/f.u.. Number 3: VASP energy -27.163 eV/f.u.. Number 4: VASP energy -19.353 eV/f.u..